[1]
Compound: LiB2I2
Source: Alexandria
Functional: PBE
Structure: optimized geometry

Cell lengths 3.3217, 3.3217, 9.1837 Å; angles 79.58, 79.58, 90.00 degrees
Fractional coordinates of all 5 atoms:
1 I 0.3911 0.3911 0.2178
2 I 0.6089 0.6089 0.7822
3 B 0.7500 0.2500 0.5000
4 B 0.2500 0.7500 0.5000
5 Li 0.0000 0.0000 0.0000

Computed properties:
Energy above the lowest structure with this stoichiometry (meV per atom): 0.0
Fermi-level density of states (states/eV per atom): 0.341
Crystal system: tetragonal
V (Å³ per cell): 98.0
Space-group type: I4/mmm



[2]
Compound: MnPbSe
Source: Alexandria
Functional: PBE
Structure: optimized geometry

Cell lengths 4.6605, 4.6605, 4.6605 Å; angles 60.00, 60.00, 60.00 degrees
Site moments in Bohr magnetons follow the coordinates.
Fractional coordinates of all 3 atoms:
1 Mn 0.7500 0.7500 0.7500  3.53
2 Pb 0.0000 0.0000 0.0000  -0.15
3 Se 0.5000 0.5000 0.5000  -0.01

Computed properties:
Energy above the lowest structure with this stoichiometry (meV per atom): 220.6
Fermi-level density of states (states/eV per atom): 0.868
Crystal system: cubic
V (Å³ per cell): 71.6
Space-group type: F-43m



[3]
Compound: CsPdN
Source: Alexandria
Functional: PBE
Structure: optimized geometry

Cell lengths 5.1314, 5.6310, 6.8978 Å; angles 105.63, 102.79, 97.12 degrees
Fractional coordinates of all 6 atoms:
1 Cs 0.4022 0.3643 0.2752
2 Cs 0.3239 0.8041 0.7936
3 Pd 0.9045 0.7817 0.2003
4 Pd 0.8216 0.3882 0.8699
5 N 0.9014 0.0403 0.4628
6 N 0.8247 0.1296 0.6074

Computed properties:
Energy above the lowest structure with this stoichiometry (meV per atom): 0.0
Crystal system: triclinic
V (Å³ per cell): 183.6
Space-group type: P1



[4]
Compound: Np2FeNi12P3
Source: Alexandria
Functional: PBE
Structure: optimized geometry

Cell lengths 6.2046, 6.2046, 6.2046 Å; angles 83.14, 83.14, 83.14 degrees
Site moments in Bohr magnetons follow the coordinates.
Fractional coordinates of all 18 atoms:
1 Np 0.5957 0.5957 0.5957  1.46
2 Np 0.4043 0.4043 0.4043  1.46
3 Fe 0.0000 0.0000 0.0000  3.06
4 Ni 0.3622 0.3622 0.9429  0.02
5 Ni 0.8157 0.8157 0.3260  0.04
6 Ni 0.3260 0.8157 0.8157  0.04
7 Ni 0.9429 0.3622 0.3622  0.02
8 Ni 0.8157 0.3260 0.8157  0.04
9 Ni 0.3622 0.9429 0.3622  0.02
10 Ni 0.6378 0.6378 0.0571  0.02
11 Ni 0.1843 0.1843 0.6740  0.04
12 Ni 0.6740 0.1843 0.1843  0.04
13 Ni 0.0571 0.6378 0.6378  0.02
14 Ni 0.1843 0.6740 0.1843  0.04
15 Ni 0.6378 0.0571 0.6378  0.02
16 P 0.5000 0.0000 0.0000  0.01
17 P 0.0000 0.5000 0.0000  0.01
18 P 0.0000 0.0000 0.5000  0.01

Computed properties:
Fermi-level density of states (states/eV per atom): 0.747
E_form (eV/atom): -0.0074
Crystal system: trigonal
V (Å³ per cell): 234.1
Space-group type: R-3m



[5]
Compound: MgTiGaPt
Source: Alexandria
Functional: PBE
Structure: optimized geometry

Cell lengths 4.5128, 4.5128, 4.5128 Å; angles 60.00, 60.00, 60.00 degrees
Fractional coordinates of all 4 atoms:
1 Mg 0.7500 0.7500 0.7500
2 Ga 0.0000 0.0000 0.0000
3 Pt 0.5000 0.5000 0.5000
4 Ti 0.2500 0.2500 0.2500

Computed properties:
Fermi-level density of states (states/eV per atom): 0.434
E_form (eV/atom): -0.6118
Crystal system: cubic
V (Å³ per cell): 65.0
Space-group type: F-43m



[6]
Compound: SrCoSe2N
Source: Alexandria
Functional: PBE
Structure: optimized geometry

Cell lengths 5.2128, 5.2128, 3.4974 Å; angles 90.00, 90.00, 90.00 degrees
Fractional coordinates of all 5 atoms:
1 Sr 0.5000 0.5000 0.5000
2 Co 0.0000 0.0000 0.0000
3 Se 0.0000 0.5000 0.0000
4 Se 0.5000 0.0000 0.0000
5 N 0.0000 0.0000 0.5000

Computed properties:
Energy above the lowest structure with this stoichiometry (meV per atom): 0.0
Fermi-level density of states (states/eV per atom): 0.578
Crystal system: tetragonal
V (Å³ per cell): 95.0
Space-group type: P4/mmm



[7]
Compound: Fe2SbAu
Source: Alexandria
Functional: PBE
Structure: optimized geometry

Cell lengths 5.0369, 5.0369, 4.5396 Å; angles 73.97, 73.97, 36.45 degrees
Site moments in Bohr magnetons follow the coordinates.
Fractional coordinates of all 4 atoms:
1 Au 0.2682 0.2682 0.2080  0.03
2 Fe 0.0244 0.0244 0.0009  2.54
3 Fe 0.7230 0.7230 0.7558  2.62
4 Sb 0.4843 0.4843 0.5353  -0.02

Computed properties:
Fermi-level density of states (states/eV per atom): 0.830
Crystal system: monoclinic
V (Å³ per cell): 65.5
Space-group type: Cm
E_tot (eV/atom): -5.84



[8]
Compound: ScCdCo
Source: Alexandria
Functional: PBE
Structure: optimized geometry

Cell lengths 4.3625, 4.3625, 4.3625 Å; angles 60.00, 60.00, 60.00 degrees
Fractional coordinates of all 3 atoms:
1 Cd 0.5000 0.5000 0.5000
2 Co 0.7500 0.7500 0.7500
3 Sc 0.0000 0.0000 0.0000

Computed properties:
Energy above the lowest structure with this stoichiometry (meV per atom): 310.3
Fermi-level density of states (states/eV per atom): 0.463
E_form (eV/atom): 0.0423
Crystal system: cubic
V (Å³ per cell): 58.7
Space-group type: F-43m



[9]
Compound: Sc2Te3H
Source: Alexandria
Functional: PBE
Structure: optimized geometry

Cell lengths 4.0906, 9.7502, 8.9473 Å; angles 69.27, 76.79, 77.89 degrees
Fractional coordinates of all 12 atoms:
1 Sc 0.8680 0.4651 0.7990
2 Sc 0.1320 0.5349 0.2010
3 Sc 0.5641 0.3307 0.5411
4 Sc 0.4359 0.6693 0.4589
5 Te 0.0434 0.1609 0.7524
6 Te 0.9566 0.8391 0.2476
7 Te 0.6651 0.6944 0.9753
8 Te 0.3349 0.3056 0.0247
9 Te 0.7963 0.7962 0.6111
10 Te 0.2037 0.2038 0.3889
11 H 0.4265 0.4852 0.6617
12 H 0.5735 0.5148 0.3383

Computed properties:
Energy above the lowest structure with this stoichiometry (meV per atom): 80.5
Fermi-level density of states (states/eV per atom): 0.249
Crystal system: monoclinic
V (Å³ per cell): 321.7
Space-group type: C2/m



[10]
Compound: Tl2SbAu2
Source: Alexandria
Functional: PBE
Structure: optimized geometry

Cell lengths 4.4812, 4.4660, 8.3473 Å; angles 74.64, 90.04, 60.36 degrees
Fractional coordinates of all 5 atoms:
1 Tl 0.7844 0.4336 0.3477
2 Tl 0.2156 0.5664 0.6523
3 Sb 0.0000 0.0000 0.0000
4 Au 0.3860 0.2300 0.1539
5 Au 0.6141 0.7700 0.8461

Computed properties:
Energy above the lowest structure with this stoichiometry (meV per atom): 0.0
Fermi-level density of states (states/eV per atom): 0.312
Crystal system: triclinic
V (Å³ per cell): 138.3
Space-group type: P-1



[11]
Compound: Ba2SnHg8
Source: Alexandria
Functional: PBE
Structure: optimized geometry

Cell lengths 5.1588, 5.1588, 13.0780 Å; angles 90.00, 90.00, 90.00 degrees
Fractional coordinates of all 11 atoms:
1 Ba 0.0000 0.0000 0.3084
2 Ba 0.0000 0.0000 0.6916
3 Sn 0.0000 0.0000 0.0000
4 Hg 0.0000 0.5000 0.5000
5 Hg 0.5000 0.0000 0.5000
6 Hg 0.5000 0.5000 0.2843
7 Hg 0.5000 0.5000 0.7157
8 Hg 0.0000 0.5000 0.1289
9 Hg 0.5000 0.0000 0.1289
10 Hg 0.0000 0.5000 0.8711
11 Hg 0.5000 0.0000 0.8711

Computed properties:
Energy above the lowest structure with this stoichiometry (meV per atom): 6.6
Fermi-level density of states (states/eV per atom): 0.620
E_form (eV/atom): -0.3020
Crystal system: tetragonal
V (Å³ per cell): 348.0
Space-group type: P4/mmm



[12]
Compound: LiNi3Pd
Source: Alexandria
Functional: PBE
Structure: optimized geometry

Cell lengths 4.6170, 4.6170, 4.6170 Å; angles 90.00, 90.00, 90.00 degrees
Site moments in Bohr magnetons follow the coordinates.
Fractional coordinates of all 5 atoms:
1 Ni 0.0000 0.5000 0.0000  0.90
2 Ni 0.0000 0.0000 0.5000  1.21
3 Ni 0.5000 0.0000 0.0000  0.48
4 Pd 0.0000 0.0000 0.0000  0.43
5 Li 0.5000 0.5000 0.5000  0.00

Computed properties:
Energy above the lowest structure with this stoichiometry (meV per atom): 341.7
Fermi-level density of states (states/eV per atom): 2.671
E_form (eV/atom): 1.0093
Crystal system: cubic
V (Å³ per cell): 98.4
Space-group type: Pm-3m